# 1
This record from the Open Quantum Materials Database describes a relaxed ScZnPd crystal. The functional is GGA-PBE.

abc: 4.3887 4.3887 4.3887
angles: 60.00 60.00 60.00
Sites, in units of the cell vectors:
Sc (0.0000, 0.0000, 0.0000)
Zn (0.5000, 0.5000, 0.5000)
Pd (0.2500, 0.2500, 0.2500)

Summary:
Space group   F-43m (216)
Formation enthalpy at 0 K   -0.517 eV per atom

# 2
This record from the Open Quantum Materials Database describes a relaxed Pr2NdNi4Sn4 crystal. The functional is GGA-PBE.

abc: 8.4539 8.4539 8.4539
angles: 148.80 130.96 59.28
Sites, in units of the cell vectors:
Pr (0.1325, 0.1325, 0.0000)
Pr (0.8675, 0.8675, 0.0000)
Nd (0.5000, 0.0000, 0.5000)
Ni (0.1380, 0.3238, 0.8142)
Ni (0.4904, 0.6762, 0.8142)
Ni (0.5096, 0.3238, 0.1858)
Ni (0.8620, 0.6762, 0.1858)
Sn (0.2041, 0.5000, 0.7041)
Sn (0.2835, 0.7835, 0.5000)
Sn (0.7165, 0.2165, 0.5000)
Sn (0.7959, 0.5000, 0.2959)

Summary:
Space group   Immm (71)
Electronic total energy   -58.37 eV/f.u.

# 3
This record from the Open Quantum Materials Database describes a relaxed DyHoAg2Sn2 crystal. The functional is GGA-PBE.

abc: 4.7284 4.7284 7.3137
angles: 90.00 90.00 120.00
Sites, in units of the cell vectors:
Dy (0.0000, 0.0000, 0.0000)
Ho (0.0000, 0.0000, 0.5002)
Ag (0.3333, 0.6667, 0.1901)
Ag (0.6667, 0.3333, 0.6895)
Sn (0.3333, 0.6667, 0.7792)
Sn (0.6667, 0.3333, 0.2798)

Summary:
Space group   P3m1 (156)
Electronic total energy   -26.38 eV/f.u.

# 4
This record from the Open Quantum Materials Database describes a relaxed Pr2H2IBrO2 crystal. The functional is GGA-PBE.

abc: 4.0461 4.0461 11.1307
angles: 90.00 90.00 120.00
Sites, in units of the cell vectors:
Pr (0.0000, 0.0000, 0.0000)
Pr (0.3333, 0.6667, 0.4824)
H (0.6667, 0.3333, 0.3093)
H (0.6667, 0.3333, 0.8376)
I (0.0000, 0.0000, 0.6886)
Br (0.3333, 0.6667, 0.1824)
O (0.6667, 0.3333, 0.3974)
O (0.6667, 0.3333, 0.9258)

Summary:
Space group   P3m1 (156)
Electronic total energy   -41.79 eV/f.u.